This record from Alexandria via LeMat-Bulk describes a geometry-optimized Cr2SiP structure. The functional is PBE.

## Properties
The value obtained for the density of states at the Fermi level is 0.70 states/eV/atom. Its total energy is -0.550 Ry per atom. The calculation puts the total magnetization at 0.0000 μB per atom. The energy above the most stable polymorph in this dataset is 373.7 meV per atom. The raw formation energy is 0.043 eV/atom.

Cell: 2.7906 2.7906 22.0747 Å, 90.00 90.00 120.00°
Last column: nearest neighbours and their distance in Å.
Space group R3m (No. 160, hexagonal axes)
Asymmetric unit:
Cr 0.0000 0.0000 0.0000  3 P 2.34, 3 Cr 2.47
Cr 0.0000 0.0000 0.2487  3 Si 2.44, 3 Cr 2.47
Si 0.0000 0.0000 0.4990  3 Cr 2.44, 3 P 2.54
P 0.0000 0.0000 0.7435  3 Cr 2.34, 3 Si 2.54